No. 1
# Eu5P3O12F PBE-GGA optimized geometry
data_Eu5P3O12F
_chemical_formula_sum 'Eu10 P6 O24 F2'
_symmetry_space_group_name_H-M 'P 63/m'
_symmetry_Int_Tables_number 176
_symmetry_space_group_name_Hall '-P 6c'
_cell_length_a 9.8367
_cell_length_b 9.8367
_cell_length_c 7.3033
_cell_angle_alpha 90.00
_cell_angle_beta 90.00
_cell_angle_gamma 120.00
loop_
_atom_site_label
_atom_site_type_symbol
_atom_site_fract_x
_atom_site_fract_y
_atom_site_fract_z
Eu1 Eu 0.0123 0.2540 0.2500
Eu2 Eu 0.3333 0.6667 0.0008
P1 P 0.0323 0.3997 0.7500
O1 O 0.0862 0.3460 0.5777
O2 O 0.1186 0.5830 0.7500
O3 O 0.1489 0.6706 0.2500
F1 F 0.0000 0.0000 0.2500
# N(E_F) in states/eV per atom: 0.250
# Crystal system: hexagonal
# E in eV/f.u.: -190.3
# Formation energy from raw total energies in kJ/mol of formula units: -5920

---

No. 2
# Ca6SbO8 PBE-GGA optimized geometry
data_Ca6SbO8
_chemical_formula_sum 'Ca24 Sb4 O32'
_symmetry_space_group_name_H-M 'F m -3 m'
_symmetry_Int_Tables_number 225
_symmetry_space_group_name_Hall '-F 4 2 3'
_cell_length_a 9.660
_cell_length_b 9.660
_cell_length_c 9.660
_cell_angle_alpha 90.00
_cell_angle_beta 90.00
_cell_angle_gamma 90.00
loop_
_atom_site_label
_atom_site_type_symbol
_atom_site_fract_x
_atom_site_fract_y
_atom_site_fract_z
Ca1 Ca 0.000 0.250 0.250
Sb1 Sb 0.000 0.000 0.000
O1 O 0.000 0.000 0.224
O2 O 0.250 0.250 0.250
# N(E_F) in states/eV per atom: 0.209
# Crystal system: cubic
# E in eV/f.u.: -95.4
# Formation energy from raw total energies in kJ/mol of formula units: -3821

---

No. 3
# Pu2ThNpAs4 PBE-GGA optimized geometry
data_Pu2ThNpAs4
_chemical_formula_sum 'Pu2 Th1 Np1 As4'
_symmetry_space_group_name_H-M 'P 1 2/m 1'
_symmetry_Int_Tables_number 10
_cell_length_a 7.216
_cell_length_b 4.172
_cell_length_c 7.224
_cell_angle_alpha 90.00
_cell_angle_beta 109.51
_cell_angle_gamma 90.00
loop_
_symmetry_equiv_pos_as_xyz
'x,y,z'
'-x,-y,-z'
'-x,y,-z'
'x,-y,z'
loop_
_atom_site_label
_atom_site_type_symbol
_atom_site_fract_x
_atom_site_fract_y
_atom_site_fract_z
Pu1 Pu 0.000 0.000 0.000
Pu2 Pu 0.000 0.500 0.500
Th1 Th 0.500 0.000 0.500
Np1 Np 0.500 0.500 0.000
As1 As 0.245 0.500 0.243
As2 As 0.248 0.000 0.755
# N(E_F) in states/eV per atom: 3.971
# Crystal system: monoclinic
# E in eV/f.u.: -75.8